# 1
# SrLu3

An optimized crystal structure of SrLu3 (PBE, Alexandria).

Cell lengths 3.597, 5.795, 6.438 Å; angles 90.00, 90.00, 90.00 degrees
Last column: magnetic moment on the atom in μB.
Positions (direct):
Sr (0.000, 0.500, 0.329)  -0.06
Lu (0.000, 0.000, 0.988)  -0.31
Lu (0.500, 0.000, 0.523)  -0.30
Lu (0.500, 0.500, 0.827)  -0.24

Output
Energy relative to the elements: 20.03 kJ per mole of atoms
Uncorrected energy: -3.60 eV/atom
Density: 7.6 Mg/m³
Space group: Pmm2

---

# 2
# Rb2AuBr6N

An optimized crystal structure of Rb2AuBr6N (PBE, Alexandria).

Cell lengths 7.334, 7.334, 7.341 Å; angles 60.03, 60.03, 90.00 degrees
Positions (direct):
Au (0.000, 0.000, 0.000)
Br (0.262, 0.262, 0.475)
Br (0.738, 0.738, 0.525)
Br (0.258, 0.258, 0.000)
Br (0.742, 0.742, 0.000)
Br (0.742, 0.258, 0.000)
Br (0.258, 0.742, 0.000)
Rb (0.750, 0.250, 0.500)
Rb (0.250, 0.750, 0.500)
N (0.500, 0.500, 0.000)

Output
Uncorrected energy: -2.68 eV/atom
Density: 5.1 Mg/m³
Space group: I4/mmm
Formation energy without anion corrections: -322 meV/atom

---

# 3
# CsV2Rh

An optimized crystal structure of CsV2Rh (PBE, Alexandria).

Cell lengths 4.613, 4.613, 4.613 Å; angles 60.00, 60.00, 60.00 degrees
Last column: magnetic moment on the atom in μB.
Positions (direct):
Cs (0.500, 0.500, 0.500)  0.02
Rh (0.000, 0.000, 0.000)  -0.08
V (0.250, 0.250, 0.250)  0.50
V (0.750, 0.750, 0.750)  0.50

Output
Energy relative to the elements: 133.17 kJ per mole of atoms
Uncorrected energy: -5.23 eV/atom
Density: 8.1 Mg/m³
Space group: Fm-3m

---

# 4
# NiSb2Os

An optimized crystal structure of NiSb2Os (PBE, Alexandria).

Cell lengths 6.537, 6.537, 6.537 Å; angles 152.28, 144.84, 45.35 degrees
Positions (direct):
Ni (0.514, 0.514, 0.000)
Os (0.315, 0.815, 0.500)
Sb (0.965, 0.965, 0.000)
Sb (0.706, 0.206, 0.500)

Output
Uncorrected energy: -5.99 eV/atom
Density: 11.0 Mg/m³
Space group: Imm2
Formation energy without anion corrections: 325 meV/atom
E above lowest polymorph: 138 meV per atom

---

# 5
# NdHoAl2Au4

An optimized crystal structure of NdHoAl2Au4 (PBE, Alexandria).

Cell lengths 4.595, 4.595, 9.546 Å; angles 76.07, 76.07, 60.00 degrees
Positions (direct):
Nd (0.000, 0.000, 0.000)
Ho (0.500, 0.500, 0.500)
Al (0.755, 0.755, 0.734)
Al (0.245, 0.245, 0.266)
Au (0.392, 0.392, 0.823)
Au (0.884, 0.884, 0.347)
Au (0.116, 0.116, 0.653)
Au (0.608, 0.608, 0.177)

Output
Energy relative to the elements: -67.32 kJ per mole of atoms
Uncorrected energy: -4.44 eV/atom
Density: 11.4 Mg/m³
Space group: R-3m

---

# 6
# InSiMo2

An optimized crystal structure of InSiMo2 (PBE, Alexandria).

Cell lengths 4.060, 4.017, 4.017 Å; angles 90.00, 90.00, 90.00 degrees
Positions (direct):
In (0.500, 0.000, 0.500)
Mo (0.000, 0.000, 0.000)
Mo (0.000, 0.500, 0.500)
Si (0.500, 0.500, 0.000)

Output
Uncorrected energy: -7.03 eV/atom
Density: 8.5 Mg/m³
Space group: P4/mmm
Formation energy without anion corrections: 430 meV/atom
E above lowest polymorph: 391 meV per atom